The following is a DFT calculation (GGA-PBE) of an optimized crystal structure of Ce7Ga2Au2.

Output
SG: Cmmm, No. 65
DOS at the Fermi energy in states/eV/f.u.: 29.6
Calculated formation energy in eV per atom: -0.25

Cell: 6.733 7.004 6.733 Å, 90.00 106.62 90.00°
Last column: magnetic moment on the atom in μB.
Sites, in units of the cell vectors:
1 Ga 0.154 0.500 0.154  -0.01
2 Ga 0.846 0.500 0.846  -0.01
3 Ce 0.500 0.694 0.000  0.61
4 Ce 0.000 0.000 0.000  0.95
5 Ce 0.000 0.694 0.500  0.61
6 Au 0.706 0.000 0.294  0.01
7 Ce 0.500 0.305 0.500  0.45
8 Ce 0.000 0.306 0.500  0.61
9 Ce 0.500 0.695 0.500  0.45
10 Ce 0.500 0.306 0.000  0.61
11 Au 0.294 0.000 0.706  0.01

The following is a DFT calculation (GGA-PBE) of an optimized crystal structure of CeGdGaAu.

Output
SG: F-43m, No. 216
DOS at the Fermi energy in states/eV/f.u.: 10.0
Calculated formation energy in eV per atom: -0.58

Cell: 5.180 5.180 5.180 Å, 60.00 60.00 60.00°
Last column: magnetic moment on the atom in μB.
Sites, in units of the cell vectors:
1 Au 0.750 0.750 0.750  0.03
2 Ga 0.250 0.250 0.250  -0.01
3 Gd 0.000 0.000 0.000  7.19
4 Ce 0.500 0.500 0.500  0.77

The following is a DFT calculation (GGA-PBE) of an optimized crystal structure of CeGa2GeAu.

Output
SG: I4cm, No. 108
DOS at the Fermi energy in states/eV/f.u.: 7.0
Calculated formation energy in eV per atom: -0.21

Cell: 6.516 6.516 7.267 Å, 116.64 116.64 90.00°
Last column: magnetic moment on the atom in μB.
Sites, in units of the cell vectors:
1 Ge 0.251 0.751 0.501  -0.02
2 Ce 0.750 0.750 0.501  0.59
3 Ge 0.751 0.251 0.501  -0.02
4 Ga 0.635 0.135 0.999  0.00
5 Au 0.501 0.501 0.001  0.00
6 Au 0.001 0.001 0.001  0.00
7 Ce 0.250 0.250 0.501  0.59
8 Ga 0.864 0.635 0.999  0.00
9 Ga 0.135 0.364 0.999  0.00
10 Ga 0.364 0.864 0.999  0.00

- calculated formation energy of number 2 (CeGdGaAu)?
  -0.58 eV per atom